Record 1
# Rb2LiCu2Cl6 (GGA-PBE, optimized geometry)
# * raw formation energy: -13.85 eV/f.u.
# * total moment: 1.04 μB per formula unit
# * VASP energy: -37.0 eV per formula unit
# * DOS at the Fermi energy: 9.3 states/eV per cell
data_Rb2LiCu2Cl6
_symmetry_space_group_name_H-M 'C 1 2/m 1'
_symmetry_Int_Tables_number 12
_cell_length_a 12.8081
_cell_length_b 6.9864
_cell_length_c 7.7587
_cell_angle_alpha 90.00
_cell_angle_beta 117.82
_cell_angle_gamma 90.00
loop_
_symmetry_equiv_pos_as_xyz
'x,y,z'
'-x,-y,-z'
'-x,y,-z'
'x,-y,z'
'x+1/2,y+1/2,z'
'-x+1/2,-y+1/2,-z'
'-x+1/2,y+1/2,-z'
'x+1/2,-y+1/2,z'
loop_
_atom_site_label
_atom_site_type_symbol
_atom_site_fract_x
_atom_site_fract_y
_atom_site_fract_z
Rb1 Rb 0.2111 0.0000 0.1912
Li1 Li 0.0000 0.0000 0.5000
Cu1 Cu 0.0655 0.5000 0.2646
Cl1 Cl 0.0444 0.2436 0.7741
Cl2 Cl 0.2464 0.0000 0.6492

---

Record 2
# RbLiCu2Cl4 (GGA-PBE, optimized geometry)
# * raw formation energy: -9.42 eV/f.u.
# * total moment: 0.00 μB per formula unit
# * VASP energy: -27.9 eV per formula unit
# * DOS at the Fermi energy: 0.0 states/eV per cell
data_RbLiCu2Cl4
_symmetry_space_group_name_H-M 'I 2 2 2'
_symmetry_Int_Tables_number 23
_cell_length_a 6.4189
_cell_length_b 7.8459
_cell_length_c 8.6053
_cell_angle_alpha 90.00
_cell_angle_beta 90.00
_cell_angle_gamma 90.00
loop_
_symmetry_equiv_pos_as_xyz
'x,y,z'
'-x,-y,z'
'x,-y,-z'
'-x,y,-z'
'x+1/2,y+1/2,z+1/2'
'-x+1/2,-y+1/2,z+1/2'
'x+1/2,-y+1/2,-z+1/2'
'-x+1/2,y+1/2,-z+1/2'
loop_
_atom_site_label
_atom_site_type_symbol
_atom_site_fract_x
_atom_site_fract_y
_atom_site_fract_z
Rb1 Rb 0.0000 0.0000 0.0000
Li1 Li 0.0000 0.0000 0.5000
Cu1 Cu 0.0000 0.5000 0.1520
Cl1 Cl 0.2306 0.1604 0.3334

---

Record 3
# RbLi4Cu3Cl12 (GGA-PBE, optimized geometry)
# * raw formation energy: -22.22 eV/f.u.
# * total moment: 2.03 μB per formula unit
# * VASP energy: -65.3 eV per formula unit
# * DOS at the Fermi energy: 21.3 states/eV per cell
data_RbLi4Cu3Cl12
_symmetry_space_group_name_H-M 'I m -3'
_symmetry_Int_Tables_number 204
_symmetry_space_group_name_Hall '-I 2 2 3'
_cell_length_a 9.4777
_cell_length_b 9.4777
_cell_length_c 9.4777
_cell_angle_alpha 90.00
_cell_angle_beta 90.00
_cell_angle_gamma 90.00
loop_
_atom_site_label
_atom_site_type_symbol
_atom_site_fract_x
_atom_site_fract_y
_atom_site_fract_z
Rb1 Rb 0.0000 0.0000 0.0000
Li1 Li 0.2500 0.2500 0.2500
Cu1 Cu 0.0000 0.0000 0.5000
Cl1 Cl 0.0000 0.1661 0.3277

---

Record 4
# RbLi3Cu4Cl12 (GGA-PBE, optimized geometry)
# * raw formation energy: -18.97 eV/f.u.
# * total moment: 4.16 μB per formula unit
# * VASP energy: -64.2 eV per formula unit
# * DOS at the Fermi energy: 35.4 states/eV per cell
data_RbLi3Cu4Cl12
_symmetry_space_group_name_H-M 'R 3 2'
_symmetry_Int_Tables_number 155
_symmetry_space_group_name_Hall 'R 3 2"'
_cell_length_a 13.3797
_cell_length_b 13.3797
_cell_length_c 10.1436
_cell_angle_alpha 90.00
_cell_angle_beta 90.00
_cell_angle_gamma 120.00
loop_
_atom_site_label
_atom_site_type_symbol
_atom_site_fract_x
_atom_site_fract_y
_atom_site_fract_z
Rb1 Rb 0.0000 0.0000 0.0000
Li1 Li 0.0000 0.5650 0.0000
Cu1 Cu 0.0000 0.0000 0.5000
Cu2 Cu 0.0000 0.4306 0.5000
Cl1 Cl 0.0000 0.5924 0.5000
Cl2 Cl 0.0000 0.8383 0.5000
Cl3 Cl 0.0675 0.2409 0.1714